Material: NdGdAlNi2
Method: DFT, PBE-GGA
State: optimized geometry

Calculated values
The uncorrected energy comes out at -5.3387 eV per atom. As for the space group: Imm2.

a = 4.237 Å, b = 5.455 Å, c = 8.441 Å
α = 90.00°, β = 90.00°, γ = 90.00°
Atoms (fractional coordinates):
Nd: 0.000 0.000 0.000
Nd: 0.500 0.500 0.500
Gd: 0.000 0.000 0.409
Gd: 0.500 0.500 0.909
Al: 0.000 0.500 0.204
Al: 0.500 0.000 0.704
Ni: 0.000 0.266 0.704
Ni: 0.000 0.734 0.704
Ni: 0.500 0.234 0.204
Ni: 0.500 0.766 0.204



Material: NdGdAl2Pd4
Method: DFT, PBE-GGA
State: optimized geometry

Calculated values
The uncorrected energy comes out at -5.6081 eV per atom. As for the space group: P-6m2.

a = 4.400 Å, b = 4.400 Å, c = 9.281 Å
α = 90.00°, β = 90.00°, γ = 120.00°
Atoms (fractional coordinates):
Nd: 0.000 0.000 0.000
Gd: 0.667 0.333 0.500
Al: 0.333 0.667 0.254
Al: 0.333 0.667 0.746
Pd: 0.000 0.000 0.331
Pd: 0.000 0.000 0.669
Pd: 0.667 0.333 0.180
Pd: 0.667 0.333 0.820



Material: NdGdAl2Pt4
Method: DFT, PBE-GGA
State: optimized geometry

Calculated values
The uncorrected energy comes out at -6.2781 eV per atom. As for the space group: P-6m2.

a = 4.372 Å, b = 4.372 Å, c = 9.489 Å
α = 90.00°, β = 90.00°, γ = 120.00°
Atoms (fractional coordinates):
Nd: 0.000 0.000 0.000
Gd: 0.667 0.333 0.500
Al: 0.333 0.667 0.254
Al: 0.333 0.667 0.746
Pt: 0.000 0.000 0.333
Pt: 0.000 0.000 0.667
Pt: 0.667 0.333 0.179
Pt: 0.667 0.333 0.821



Material: NdGd2Al3Si2Pt
Method: DFT, PBE-GGA
State: optimized geometry

Calculated values
The uncorrected energy comes out at -5.5338 eV per atom. As for the space group: Amm2.

a = 4.275 Å, b = 7.012 Å, c = 7.012 Å
α = 119.99°, β = 90.00°, γ = 90.00°
Atoms (fractional coordinates):
Nd: 0.000 0.000 0.000
Gd: 0.000 0.417 0.834
Gd: 0.000 0.834 0.417
Al: 0.500 0.184 0.420
Al: 0.500 0.420 0.184
Al: 0.500 0.652 0.652
Si: 0.500 0.086 0.746
Si: 0.500 0.746 0.086
Pt: 0.000 0.424 0.424



Material: Gd3AlNi8
Method: DFT, PBE-GGA
State: optimized geometry

Calculated values
The uncorrected energy comes out at -5.6138 eV per atom. As for the space group: P6_3/mmc.

a = 5.069 Å, b = 5.069 Å, c = 16.093 Å
α = 90.00°, β = 90.00°, γ = 120.00°
Atoms (fractional coordinates):
Gd: 0.333 0.667 0.045
Gd: 0.333 0.667 0.250
Gd: 0.333 0.667 0.455
Gd: 0.667 0.333 0.545
Gd: 0.667 0.333 0.750
Gd: 0.667 0.333 0.955
Al: 0.000 0.000 0.000
Al: 0.000 0.000 0.500
Ni: 0.000 0.000 0.250
Ni: 0.000 0.000 0.750
Ni: 0.169 0.337 0.626
Ni: 0.169 0.337 0.874
Ni: 0.169 0.831 0.626
Ni: 0.169 0.831 0.874
Ni: 0.333 0.667 0.750
Ni: 0.337 0.169 0.126
Ni: 0.337 0.169 0.374
Ni: 0.663 0.831 0.626
Ni: 0.663 0.831 0.874
Ni: 0.667 0.333 0.250
Ni: 0.831 0.169 0.126
Ni: 0.831 0.169 0.374
Ni: 0.831 0.663 0.126
Ni: 0.831 0.663 0.374



Material: GdAlNi
Method: DFT, PBE-GGA
State: optimized geometry

Calculated values
The uncorrected energy comes out at -5.2439 eV per atom. As for the space group: P-62m.

a = 6.941 Å, b = 6.941 Å, c = 3.968 Å
α = 90.00°, β = 90.00°, γ = 120.00°
Atoms (fractional coordinates):
Gd: 0.000 0.582 0.000
Gd: 0.418 0.418 0.000
Gd: 0.582 0.000 0.000
Al: 0.000 0.232 0.500
Al: 0.232 0.000 0.500
Al: 0.768 0.768 0.500
Ni: 0.000 0.000 0.000
Ni: 0.333 0.667 0.500
Ni: 0.667 0.333 0.500



Material: Gd3Al5Ni
Method: DFT, PBE-GGA
State: optimized geometry

Calculated values
The uncorrected energy comes out at -4.7975 eV per atom. As for the space group: P-62m.

a = 7.008 Å, b = 7.008 Å, c = 4.335 Å
α = 90.00°, β = 90.00°, γ = 120.00°
Atoms (fractional coordinates):
Gd: 0.000 0.402 0.000
Gd: 0.402 0.000 0.000
Gd: 0.598 0.598 0.000
Al: 0.000 0.771 0.500
Al: 0.229 0.229 0.500
Al: 0.333 0.667 0.500
Al: 0.667 0.333 0.500
Al: 0.771 0.000 0.500
Ni: 0.000 0.000 0.000



Material: GdAl3Ni2
Method: DFT, PBE-GGA
State: optimized geometry

Calculated values
The value obtained for the energy above the most stable polymorph in this dataset is 425 meV/atom. As for the space group: P6/mmm.

a = 6.306 Å, b = 6.306 Å, c = 3.039 Å
α = 90.00°, β = 90.00°, γ = 120.00°
Atoms (fractional coordinates):
Gd: 0.000 0.000 0.000
Al: 0.000 0.500 0.000
Al: 0.500 0.000 0.000
Al: 0.500 0.500 0.000
Ni: 0.333 0.667 0.500
Ni: 0.667 0.333 0.500



Material: GdAl9Ni3
Method: DFT, PBE-GGA
State: optimized geometry

Calculated values
The uncorrected energy comes out at -4.7614 eV per atom. As for the space group: R32.

a = 10.079 Å, b = 10.079 Å, c = 10.079 Å
α = 42.42°, β = 42.42°, γ = 42.42°
Atoms (fractional coordinates):
Gd: 0.167 0.167 0.167
Gd: 0.833 0.833 0.833
Al: 0.000 0.334 0.666
Al: 0.052 0.052 0.052
Al: 0.102 0.761 0.432
Al: 0.239 0.898 0.568
Al: 0.282 0.282 0.282
Al: 0.292 0.500 0.708
Al: 0.334 0.666 0.000
Al: 0.386 0.386 0.386
Al: 0.432 0.102 0.761
Al: 0.500 0.708 0.292
Al: 0.568 0.239 0.898
Al: 0.614 0.614 0.614
Al: 0.666 0.000 0.334
Al: 0.708 0.292 0.500
Al: 0.718 0.718 0.718
Al: 0.761 0.432 0.102
Al: 0.898 0.568 0.239
Al: 0.948 0.948 0.948
Ni: 0.079 0.418 0.758
Ni: 0.242 0.582 0.921
Ni: 0.418 0.758 0.079
Ni: 0.582 0.921 0.242
Ni: 0.758 0.079 0.418
Ni: 0.921 0.242 0.582



Material: Gd3Al19Ni5
Method: DFT, PBE-GGA
State: optimized geometry

Calculated values
The uncorrected energy comes out at -4.6943 eV per atom. As for the space group: Cmcm.

a = 8.250 Å, b = 8.250 Å, c = 27.105 Å
α = 90.00°, β = 90.00°, γ = 151.32°
Atoms (fractional coordinates):
Gd: 0.113 0.887 0.750
Gd: 0.334 0.666 0.635
Gd: 0.334 0.666 0.865
Gd: 0.666 0.334 0.135
Gd: 0.666 0.334 0.365
Gd: 0.887 0.113 0.250
Al: 0.036 0.964 0.101
Al: 0.036 0.964 0.399
Al: 0.079 0.921 0.202
Al: 0.079 0.921 0.298
Al: 0.095 0.905 0.537
Al: 0.095 0.905 0.963
Al: 0.130 0.870 0.635
Al: 0.130 0.870 0.865
Al: 0.265 0.735 0.529
Al: 0.265 0.735 0.971
Al: 0.276 0.724 0.193
Al: 0.276 0.724 0.307
Al: 0.291 0.709 0.088
Al: 0.291 0.709 0.412
Al: 0.307 0.693 0.750
Al: 0.433 0.567 0.531
Al: 0.433 0.567 0.969
Al: 0.464 0.536 0.174
Al: 0.464 0.536 0.326
Al: 0.536 0.464 0.674
Al: 0.536 0.464 0.826
Al: 0.567 0.433 0.031
Al: 0.567 0.433 0.469
Al: 0.693 0.307 0.250
Al: 0.709 0.291 0.588
Al: 0.709 0.291 0.912
Al: 0.724 0.276 0.693
Al: 0.724 0.276 0.807
Al: 0.735 0.265 0.029
Al: 0.735 0.265 0.471
Al: 0.870 0.130 0.135
Al: 0.870 0.130 0.365
Al: 0.905 0.095 0.037
Al: 0.905 0.095 0.463
Al: 0.921 0.079 0.702
Al: 0.921 0.079 0.798
Al: 0.964 0.036 0.601
Al: 0.964 0.036 0.899
Ni: 0.159 0.841 0.042
Ni: 0.159 0.841 0.458
Ni: 0.446 0.554 0.084
Ni: 0.446 0.554 0.416
Ni: 0.455 0.545 0.750
Ni: 0.545 0.455 0.250
Ni: 0.554 0.446 0.584
Ni: 0.554 0.446 0.916
Ni: 0.841 0.159 0.542
Ni: 0.841 0.159 0.958